# 1
Compound: Sm2CdSi2Rh5
Source: Alexandria via LeMat-Bulk
Functional: PBE-GGA
Structure: optimized geometry

Structure (POSCAR):
```
Sm2CdSi2Rh5
1.0
9.956 0.000 0.000
0.000 9.956 0.000
0.000 0.000 3.502
Sm Cd Si Rh
4 2 4 10
Cartesian
1.749 3.229 0.000
3.229 8.207 0.000
6.727 1.749 0.000
8.207 6.727 0.000
0.000 0.000 0.000
4.978 4.978 0.000
1.221 6.199 0.000
3.757 1.221 0.000
6.199 8.735 0.000
8.735 3.757 0.000
0.000 4.978 1.751
0.685 7.772 1.751
2.184 0.685 1.751
2.794 5.663 1.751
4.293 2.794 1.751
4.978 0.000 1.751
5.663 7.162 1.751
7.162 4.293 1.751
7.772 9.271 1.751
9.271 2.184 1.751
```

Summary:
Formation energy without anion corrections, eV/atom: -0.849
SG: P4/mbm, No. 127
V, Å³/atom: 17.4

---

# 2
Compound: CdSi2Sn2Rh5
Source: Alexandria via LeMat-Bulk
Functional: PBE-GGA
Structure: optimized geometry

Structure (POSCAR):
```
CdSi2Sn2Rh5
1.0
9.752 0.000 0.000
0.000 9.752 0.000
0.000 0.000 3.461
Cd Si Sn Rh
2 4 4 10
Cartesian
0.000 0.000 0.000
4.876 4.876 0.000
1.225 3.651 0.000
3.651 8.527 0.000
6.101 1.225 0.000
8.527 6.101 0.000
1.704 6.580 0.000
3.172 1.704 0.000
6.580 8.048 0.000
8.048 3.172 0.000
0.000 4.876 1.731
0.745 2.094 1.731
2.094 9.007 1.731
2.782 4.131 1.731
4.131 6.970 1.731
4.876 0.000 1.731
5.621 2.782 1.731
6.970 5.621 1.731
7.658 0.745 1.731
9.007 7.658 1.731
```

Summary:
Formation energy without anion corrections, eV/atom: -0.378
SG: P4/mbm, No. 127
V, Å³/atom: 16.5

---

no.,total moment (μB per cell)
1,0.00
2,0.00